1.
VASP calculation (PBE) on Dy3Y8Th2 after structural relaxation.

Unit cell a=13.398 b=6.677 c=17.492 alpha=90.00 beta=90.00 gamma=146.70
Fractional coordinates of all 26 atoms:
Y (0.866, 0.363, 0.582)
Y (0.848, 0.283, 0.928)
Y (0.035, 0.920, 0.761)
Y (0.134, 0.637, 0.418)
Y (0.673, 0.485, 0.887)
Y (0.634, 0.637, 0.082)
Y (0.348, 0.283, 0.572)
Y (0.827, 0.515, 0.387)
Y (0.173, 0.485, 0.613)
Y (0.366, 0.363, 0.918)
Y (0.327, 0.515, 0.113)
Y (0.152, 0.717, 0.072)
Y (0.465, 0.080, 0.261)
Y (0.535, 0.920, 0.739)
Y (0.652, 0.717, 0.428)
Y (0.965, 0.080, 0.239)
Dy (0.900, 0.193, 0.755)
Dy (0.500, 0.000, 0.500)
Dy (0.400, 0.193, 0.745)
Dy (0.600, 0.807, 0.255)
Dy (0.100, 0.807, 0.245)
Dy (0.000, 0.000, 0.000)
Th (0.751, 0.344, 0.111)
Th (0.249, 0.656, 0.889)
Th (0.749, 0.656, 0.611)
Th (0.251, 0.344, 0.389)

Computed properties:
* offset from the most stable computed form: 0 meV per atom
* ΔH_f (0 K): 0.155 eV/atom
* crystal system: monoclinic
* VASP energy: -6.026 eV per atom

---

2.
VASP calculation (PBE) on Dy6Y3Th after structural relaxation.

Unit cell a=3.516 b=13.024 c=14.273 alpha=100.35 beta=90.00 gamma=90.00
Fractional coordinates of all 20 atoms:
Dy (0.750, 0.779, 0.713)
Dy (0.750, 0.345, 0.121)
Dy (0.250, 0.879, 0.515)
Dy (0.750, 0.501, 0.691)
Dy (0.250, 0.191, 0.921)
Dy (0.250, 0.499, 0.309)
Dy (0.250, 0.655, 0.879)
Dy (0.750, 0.729, 0.300)
Dy (0.250, 0.221, 0.287)
Dy (0.750, 0.809, 0.079)
Dy (0.750, 0.121, 0.485)
Dy (0.250, 0.271, 0.700)
Y (0.250, 0.374, 0.498)
Y (0.750, 0.626, 0.502)
Y (0.250, 0.578, 0.097)
Y (0.750, 0.076, 0.100)
Y (0.250, 0.924, 0.900)
Y (0.750, 0.422, 0.903)
Th (0.750, 0.040, 0.723)
Th (0.250, 0.960, 0.277)

Computed properties:
* offset from the most stable computed form: 0 meV per atom
* ΔH_f (0 K): 0.078 eV/atom
* crystal system: monoclinic
* VASP energy: -5.364 eV per atom

---

3.
VASP calculation (PBE) on Dy2Y2Th3 after structural relaxation.

Unit cell a=3.483 b=11.594 c=5.897 alpha=75.29 beta=89.94 gamma=98.64
Fractional coordinates of all 7 atoms:
Y (0.082, 0.164, 0.418)
Y (0.918, 0.836, 0.582)
Dy (0.638, 0.276, 0.862)
Dy (0.362, 0.724, 0.138)
Th (0.725, 0.451, 0.274)
Th (0.000, 0.000, 0.000)
Th (0.275, 0.549, 0.726)

Computed properties:
* offset from the most stable computed form: 0 meV per atom
* ΔH_f (0 K): 0.122 eV/atom
* crystal system: orthorhombic
* VASP energy: -6.220 eV per atom

---

4.
VASP calculation (PBE) on Dy8Y3Th2 after structural relaxation.

Unit cell a=5.666 b=7.367 c=11.018 alpha=109.53 beta=90.01 gamma=90.00
Fractional coordinates of all 13 atoms:
Th (0.500, 0.245, 0.491)
Th (0.500, 0.755, 0.509)
Dy (0.500, 0.608, 0.781)
Dy (0.500, 0.173, 0.781)
Dy (0.000, 0.860, 0.721)
Dy (0.000, 0.333, 0.665)
Dy (0.500, 0.392, 0.219)
Dy (0.000, 0.140, 0.279)
Dy (0.500, 0.827, 0.219)
Dy (0.000, 0.667, 0.335)
Y (0.500, 0.000, 0.000)
Y (0.000, 0.274, 0.000)
Y (0.000, 0.726, 0.000)

Computed properties:
* offset from the most stable computed form: 126 meV per atom
* ΔH_f (0 K): 0.276 eV/atom
* crystal system: orthorhombic
* VASP energy: -5.190 eV per atom

---

5.
VASP calculation (PBE) on DyYTh2 after structural relaxation.

Unit cell a=5.664 b=5.664 c=5.664 alpha=60.00 beta=60.00 gamma=60.00
Fractional coordinates of all 4 atoms:
Th (0.750, 0.750, 0.750)
Th (0.250, 0.250, 0.250)
Dy (0.000, 0.000, 0.000)
Y (0.500, 0.500, 0.500)

Computed properties:
* offset from the most stable computed form: 116 meV per atom
* ΔH_f (0 K): 0.146 eV/atom
* crystal system: cubic
* VASP energy: -6.330 eV per atom

---

6.
VASP calculation (PBE) on Dy5Y4Th3 after structural relaxation.

Unit cell a=5.994 b=8.476 c=9.684 alpha=104.59 beta=71.97 gamma=69.29
Fractional coordinates of all 12 atoms:
Dy (0.375, 0.051, 0.199)
Dy (0.500, 0.500, 0.500)
Dy (0.792, 0.537, 0.879)
Dy (0.208, 0.463, 0.121)
Dy (0.625, 0.949, 0.801)
Y (0.830, 0.960, 0.380)
Y (0.139, 0.777, 0.945)
Y (0.861, 0.223, 0.055)
Y (0.170, 0.040, 0.620)
Th (0.529, 0.681, 0.260)
Th (0.471, 0.319, 0.740)
Th (0.000, 0.500, 0.500)

Computed properties:
* ΔH_f (0 K): 0.297 eV/atom
* crystal system: monoclinic
* VASP energy: -5.630 eV per atom

---

7.
VASP calculation (PBE) on Dy2Y4Th3 after structural relaxation.

Unit cell a=3.571 b=3.571 c=26.494 alpha=90.00 beta=90.00 gamma=120.00
Fractional coordinates of all 9 atoms:
Th (0.000, 0.000, 0.983)
Th (0.000, 0.000, 0.322)
Th (0.667, 0.333, 0.653)
Dy (0.667, 0.333, 0.872)
Dy (0.667, 0.333, 0.090)
Y (0.000, 0.000, 0.764)
Y (0.667, 0.333, 0.215)
Y (0.000, 0.000, 0.543)
Y (0.667, 0.333, 0.434)

Computed properties:
* ΔH_f (0 K): 0.082 eV/atom
* crystal system: trigonal
* VASP energy: -6.287 eV per atom

---

8.
VASP calculation (PBE) on Dy3YTh2 after structural relaxation.

Unit cell a=3.573 b=10.042 c=10.663 alpha=90.02 beta=90.00 gamma=90.00
Fractional coordinates of all 12 atoms:
Y (0.250, 0.876, 0.750)
Y (0.750, 0.124, 0.250)
Th (0.250, 0.877, 0.082)
Th (0.750, 0.621, 0.582)
Th (0.750, 0.123, 0.918)
Th (0.250, 0.379, 0.418)
Dy (0.250, 0.867, 0.418)
Dy (0.750, 0.624, 0.250)
Dy (0.750, 0.631, 0.918)
Dy (0.250, 0.376, 0.750)
Dy (0.750, 0.133, 0.582)
Dy (0.250, 0.369, 0.082)

Computed properties:
* offset from the most stable computed form: 0 meV per atom
* ΔH_f (0 K): 0.030 eV/atom
* crystal system: monoclinic
* VASP energy: -5.821 eV per atom

---

9.
VASP calculation (PBE) on Dy2Y5Th4 after structural relaxation.

Unit cell a=6.674 b=9.035 c=10.388 alpha=38.81 beta=71.26 gamma=68.32
Fractional coordinates of all 11 atoms:
Y (0.000, 0.500, 0.500)
Y (0.827, 0.734, 0.093)
Y (0.173, 0.266, 0.907)
Y (0.653, 0.266, 0.907)
Y (0.347, 0.734, 0.093)
Th (0.751, 0.660, 0.838)
Th (0.249, 0.340, 0.162)
Th (0.406, 0.778, 0.410)
Th (0.594, 0.222, 0.590)
Dy (0.802, 0.073, 0.323)
Dy (0.198, 0.927, 0.677)

Computed properties:
* offset from the most stable computed form: 180 meV per atom
* ΔH_f (0 K): 0.205 eV/atom
* crystal system: monoclinic
* VASP energy: -6.268 eV per atom

---

10.
VASP calculation (PBE) on Dy10Y6Th after structural relaxation.

Unit cell a=6.846 b=9.652 c=9.652 alpha=120.00 beta=90.00 gamma=90.00
Fractional coordinates of all 17 atoms:
Dy (0.178, 0.277, 0.277)
Dy (0.000, 0.667, 0.333)
Dy (0.178, 0.000, 0.723)
Dy (0.500, 0.333, 0.667)
Dy (0.178, 0.723, 0.000)
Dy (0.822, 0.000, 0.277)
Dy (0.000, 0.333, 0.667)
Dy (0.822, 0.277, 0.000)
Dy (0.822, 0.723, 0.723)
Dy (0.500, 0.667, 0.333)
Y (0.691, 0.628, 0.000)
Y (0.691, 0.000, 0.628)
Y (0.309, 0.000, 0.372)
Y (0.691, 0.372, 0.372)
Y (0.309, 0.372, 0.000)
Y (0.309, 0.628, 0.628)
Th (0.500, 0.000, 0.000)

Computed properties:
* ΔH_f (0 K): 0.152 eV/atom
* crystal system: trigonal
* VASP energy: -5.273 eV per atom

---

11.
VASP calculation (PBE) on Dy3Y7Th2 after structural relaxation.

Unit cell a=3.583 b=6.193 c=18.933 alpha=74.27 beta=106.49 gamma=89.98
Fractional coordinates of all 12 atoms:
Y (0.752, 0.469, 0.834)
Y (0.750, 0.026, 0.168)
Y (0.749, 0.257, 0.499)
Y (0.248, 0.531, 0.166)
Y (0.000, 0.000, 0.000)
Y (0.250, 0.974, 0.832)
Y (0.251, 0.743, 0.501)
Th (0.998, 0.552, 0.333)
Th (0.002, 0.448, 0.667)
Dy (0.499, 0.942, 0.666)
Dy (0.501, 0.058, 0.334)
Dy (0.500, 0.500, 0.000)

Computed properties:
* ΔH_f (0 K): 0.038 eV/atom
* crystal system: triclinic
* VASP energy: -6.119 eV per atom

---

12.
VASP calculation (PBE) on Dy8Y5Th after structural relaxation.

Unit cell a=8.447 b=8.447 c=8.447 alpha=110.66 beta=107.13 gamma=110.66
Fractional coordinates of all 14 atoms:
Dy (0.657, 0.397, 0.917)
Dy (0.740, 0.260, 0.343)
Dy (0.342, 0.268, 0.421)
Dy (0.153, 0.732, 0.074)
Dy (0.926, 0.079, 0.658)
Dy (0.520, 0.603, 0.260)
Dy (0.083, 0.740, 0.480)
Dy (0.579, 0.921, 0.847)
Y (0.290, 0.095, 0.966)
Y (0.805, 0.676, 0.710)
Y (0.500, 0.000, 0.500)
Y (0.034, 0.324, 0.129)
Y (0.871, 0.905, 0.195)
Th (0.250, 0.500, 0.750)

Computed properties:
* ΔH_f (0 K): 0.295 eV/atom
* crystal system: tetragonal
* VASP energy: -5.173 eV per atom